Entry i
# LiTeF2 (GGA-PBE, optimized geometry)
# V   119.0 Å³ per cell
data_LiTeF2
_cell_length_a 5.330
_cell_length_b 5.330
_cell_length_c 5.634
_cell_angle_alpha 61.77
_cell_angle_beta 61.77
_cell_angle_gamma 90.00
_space_group_name_H-M_alt 'P 1'
_space_group_IT_number 1
loop_
_space_group_symop_operation_xyz
'x,y,z'
loop_
_atom_site_label
_atom_site_fract_x
_atom_site_fract_y
_atom_site_fract_z
Te1 0.000 0.000 0.000
Te2 0.750 0.250 0.500
Li1 0.500 0.500 0.000
Li2 0.250 0.750 0.500
F1 0.498 0.125 0.250
F2 0.252 0.625 0.250
F3 0.375 0.502 0.750
F4 0.875 0.748 0.750

=====

Entry ii
# LiTeF2 (GGA-PBE, optimized geometry)
# V   63.1 Å³ per cell
data_LiTeF2
_cell_length_a 4.469
_cell_length_b 4.469
_cell_length_c 4.469
_cell_angle_alpha 60.00
_cell_angle_beta 60.00
_cell_angle_gamma 60.00
_space_group_name_H-M_alt 'P 1'
_space_group_IT_number 1
loop_
_space_group_symop_operation_xyz
'x,y,z'
loop_
_atom_site_label
_atom_site_fract_x
_atom_site_fract_y
_atom_site_fract_z
Te1 0.500 0.500 0.500
Li1 0.000 0.000 0.000
F1 0.250 0.250 0.250
F2 0.750 0.750 0.750

=====

Entry iii
# LiTeF2 (GGA-PBE, optimized geometry)
# V   68.4 Å³ per cell
data_LiTeF2
_cell_length_a 7.817
_cell_length_b 7.817
_cell_length_c 7.817
_cell_angle_alpha 23.81
_cell_angle_beta 23.81
_cell_angle_gamma 23.81
_space_group_name_H-M_alt 'P 1'
_space_group_IT_number 1
loop_
_space_group_symop_operation_xyz
'x,y,z'
loop_
_atom_site_label
_atom_site_fract_x
_atom_site_fract_y
_atom_site_fract_z
Te1 0.500 0.500 0.500
Li1 0.000 0.000 0.000
F1 0.925 0.925 0.925
F2 0.075 0.075 0.075

=====

Verdict on stability: entry i comes out on top.